a | Fe2SiGe: optimized geometry, PBE-GGA.

```
data_Fe2SiGe
_space_group_name_H-M_alt 'F m -3 m'
_space_group_IT_number 225
_space_group_name_Hall '-F 4 2 3'
_cell_length_a 5.657
_cell_length_b 5.657
_cell_length_c 5.657
_cell_angle_alpha 90.00
_cell_angle_beta 90.00
_cell_angle_gamma 90.00
loop_
_atom_site_label
_atom_site_type_symbol
_atom_site_fract_x
_atom_site_fract_y
_atom_site_fract_z
Fe1 Fe 0.250 0.250 0.250
Si1 Si 0.000 0.000 0.000
Ge1 Ge 0.000 0.000 0.500
```

b | Fe2SiGe: optimized geometry, PBE-GGA.

```
data_Fe2SiGe
_space_group_name_H-M_alt 'P 4/m m m'
_space_group_IT_number 123
_space_group_name_Hall '-P 4 2'
_cell_length_a 2.822
_cell_length_b 2.822
_cell_length_c 5.690
_cell_angle_alpha 90.00
_cell_angle_beta 90.00
_cell_angle_gamma 90.00
loop_
_atom_site_label
_atom_site_type_symbol
_atom_site_fract_x
_atom_site_fract_y
_atom_site_fract_z
Fe1 Fe 0.000 0.000 0.239
Si1 Si 0.500 0.500 0.000
Ge1 Ge 0.500 0.500 0.500
```

The structure with the greatest stability is b.

a | SmFe3Ge3: optimized geometry, PBE-GGA.

```
data_SmFe3Ge3
_space_group_name_H-M_alt 'P 63/m'
_space_group_IT_number 176
_space_group_name_Hall '-P 6c'
_cell_length_a 8.2638
_cell_length_b 8.2638
_cell_length_c 4.0627
_cell_angle_alpha 90.00
_cell_angle_beta 90.00
_cell_angle_gamma 120.00
loop_
_atom_site_label
_atom_site_type_symbol
_atom_site_fract_x
_atom_site_fract_y
_atom_site_fract_z
Sm1 Sm 0.3333 0.6667 0.2500
Fe1 Fe 0.0536 0.8576 0.2500
Ge1 Ge 0.0922 0.7145 0.7500
```

b | SmFe3Ge3: optimized geometry, PBE-GGA.

```
data_SmFe3Ge3
_space_group_name_H-M_alt 'P m -3 n'
_space_group_IT_number 223
_space_group_name_Hall '-P 4n 2 3'
_cell_length_a 6.480
_cell_length_b 6.480
_cell_length_c 6.480
_cell_angle_alpha 90.00
_cell_angle_beta 90.00
_cell_angle_gamma 90.00
loop_
_atom_site_label
_atom_site_type_symbol
_atom_site_fract_x
_atom_site_fract_y
_atom_site_fract_z
Sm1 Sm 0.000 0.000 0.000
Fe1 Fe 0.000 0.250 0.500
Ge1 Ge 0.000 0.500 0.250
```

The structure with the greatest stability is a.

a | Fe2SnGe: optimized geometry, PBE-GGA.

```
data_Fe2SnGe
_space_group_name_H-M_alt 'F m -3 m'
_space_group_IT_number 225
_space_group_name_Hall '-F 4 2 3'
_cell_length_a 6.026
_cell_length_b 6.026
_cell_length_c 6.026
_cell_angle_alpha 90.00
_cell_angle_beta 90.00
_cell_angle_gamma 90.00
loop_
_atom_site_label
_atom_site_type_symbol
_atom_site_fract_x
_atom_site_fract_y
_atom_site_fract_z
Fe1 Fe 0.250 0.250 0.250
Sn1 Sn 0.000 0.000 0.000
Ge1 Ge 0.000 0.000 0.500
```

b | Fe2SnGe: optimized geometry, PBE-GGA.

```
data_Fe2SnGe
_space_group_name_H-M_alt 'I -4 2 d'
_space_group_IT_number 122
_space_group_name_Hall 'I -4 2bw'
_cell_length_a 7.014
_cell_length_b 7.014
_cell_length_c 5.506
_cell_angle_alpha 90.00
_cell_angle_beta 90.00
_cell_angle_gamma 90.00
loop_
_atom_site_label
_atom_site_type_symbol
_atom_site_fract_x
_atom_site_fract_y
_atom_site_fract_z
Fe1 Fe 0.207 0.250 0.125
Sn1 Sn 0.000 0.000 0.500
Ge1 Ge 0.000 0.000 0.000
```

The structure with the greatest stability is a.

a | SrFe3Ge: optimized geometry, PBE-GGA.

```
data_SrFe3Ge
_space_group_name_H-M_alt 'P m -3 m'
_space_group_IT_number 221
_space_group_name_Hall '-P 4 2 3'
_cell_length_a 4.583
_cell_length_b 4.583
_cell_length_c 4.583
_cell_angle_alpha 90.00
_cell_angle_beta 90.00
_cell_angle_gamma 90.00
loop_
_atom_site_label
_atom_site_type_symbol
_atom_site_fract_x
_atom_site_fract_y
_atom_site_fract_z
Sr1 Sr 0.000 0.000 0.000
Fe1 Fe 0.000 0.000 0.500
Ge1 Ge 0.500 0.500 0.500
```

b | SrFe3Ge: optimized geometry, PBE-GGA.

```
data_SrFe3Ge
_space_group_name_H-M_alt 'P m -3 m'
_space_group_IT_number 221
_space_group_name_Hall '-P 4 2 3'
_cell_length_a 4.659
_cell_length_b 4.659
_cell_length_c 4.659
_cell_angle_alpha 90.00
_cell_angle_beta 90.00
_cell_angle_gamma 90.00
loop_
_atom_site_label
_atom_site_type_symbol
_atom_site_fract_x
_atom_site_fract_y
_atom_site_fract_z
Sr1 Sr 0.000 0.000 0.000
Fe1 Fe 0.000 0.500 0.500
Ge1 Ge 0.500 0.500 0.500
```

The structure with the greatest stability is b.

a | TbFe3Ge3: optimized geometry, PBE-GGA.

```
data_TbFe3Ge3
_space_group_name_H-M_alt 'P m -3 n'
_space_group_IT_number 223
_space_group_name_Hall '-P 4n 2 3'
_cell_length_a 6.463
_cell_length_b 6.463
_cell_length_c 6.463
_cell_angle_alpha 90.00
_cell_angle_beta 90.00
_cell_angle_gamma 90.00
loop_
_atom_site_label
_atom_site_type_symbol
_atom_site_fract_x
_atom_site_fract_y
_atom_site_fract_z
Tb1 Tb 0.000 0.000 0.000
Fe1 Fe 0.000 0.250 0.500
Ge1 Ge 0.000 0.500 0.250
```

b | TbFe3Ge3: optimized geometry, PBE-GGA.

```
data_TbFe3Ge3
_space_group_name_H-M_alt 'P 63/m'
_space_group_IT_number 176
_space_group_name_Hall '-P 6c'
_cell_length_a 8.1748
_cell_length_b 8.1748
_cell_length_c 4.0508
_cell_angle_alpha 90.00
_cell_angle_beta 90.00
_cell_angle_gamma 120.00
loop_
_atom_site_label
_atom_site_type_symbol
_atom_site_fract_x
_atom_site_fract_y
_atom_site_fract_z
Tb1 Tb 0.3333 0.6667 0.2500
Fe1 Fe 0.0558 0.1992 0.2500
Ge1 Ge 0.0945 0.3828 0.7500
```

The structure with the greatest stability is b.

a | FeTcGe2: optimized geometry, PBE-GGA.

```
data_FeTcGe2
_space_group_name_H-M_alt 'I -4 2 d'
_space_group_IT_number 122
_space_group_name_Hall 'I -4 2bw'
_cell_length_a 6.689
_cell_length_b 6.689
_cell_length_c 5.558
_cell_angle_alpha 90.00
_cell_angle_beta 90.00
_cell_angle_gamma 90.00
loop_
_atom_site_label
_atom_site_type_symbol
_atom_site_fract_x
_atom_site_fract_y
_atom_site_fract_z
Fe1 Fe 0.000 0.000 0.000
Tc1 Tc 0.000 0.000 0.500
Ge1 Ge 0.233 0.250 0.125
```

b | FeTcGe2: optimized geometry, PBE-GGA.

```
data_FeTcGe2
_space_group_name_H-M_alt 'F m -3 m'
_space_group_IT_number 225
_space_group_name_Hall '-F 4 2 3'
_cell_length_a 5.984
_cell_length_b 5.984
_cell_length_c 5.984
_cell_angle_alpha 90.00
_cell_angle_beta 90.00
_cell_angle_gamma 90.00
loop_
_atom_site_label
_atom_site_type_symbol
_atom_site_fract_x
_atom_site_fract_y
_atom_site_fract_z
Fe1 Fe 0.000 0.000 0.000
Tc1 Tc 0.000 0.000 0.500
Ge1 Ge 0.250 0.250 0.250
```

c | FeTcGe2: optimized geometry, PBE-GGA.

```
data_FeTcGe2
_space_group_name_H-M_alt 'R -3 m'
_space_group_IT_number 166
_space_group_name_Hall '-R 3 2"'
_cell_length_a 2.9257
_cell_length_b 2.9257
_cell_length_c 26.3036
_cell_angle_alpha 90.00
_cell_angle_beta 90.00
_cell_angle_gamma 120.00
loop_
_atom_site_label
_atom_site_type_symbol
_atom_site_fract_x
_atom_site_fract_y
_atom_site_fract_z
Fe1 Fe 0.0000 0.0000 0.0000
Tc1 Tc 0.0000 0.0000 0.5000
Ge1 Ge 0.0000 0.0000 0.0921
```

The structure with the greatest stability is b.